(1)
# CsSr2PaS5

CsSr2PaS5 after structural relaxation (PBE-GGA, Alexandria).

Geometry as CIF:
```
data_CsSr2PaS5
_chemical_formula_sum 'Cs1 Sr2 Pa1 S5'
_symmetry_space_group_name_H-M 'P 1'
_symmetry_Int_Tables_number 1
_cell_length_a 8.455
_cell_length_b 8.455
_cell_length_c 8.455
_cell_angle_alpha 144.08
_cell_angle_beta 126.23
_cell_angle_gamma 66.36
loop_
_symmetry_equiv_pos_as_xyz
'x,y,z'
loop_
_atom_site_label
_atom_site_fract_x
_atom_site_fract_y
_atom_site_fract_z
Cs1 0.000 0.000 0.000
Sr1 0.287 0.787 0.500
Sr2 0.713 0.213 0.500
Pa1 0.500 0.500 0.000
S1 0.132 0.361 0.771
S2 0.410 0.639 0.771
S3 0.500 0.000 0.500
S4 0.590 0.361 0.229
S5 0.868 0.639 0.229
```

Mass density = 4.12 g/cm³
M_tot = 0.00 μB per formula unit
Calculated volume = 31.343 Å³ per atom
Raw formation energy = -1.81 eV per atom



(2)
# Na3Cd2H8

Na3Cd2H8 after structural relaxation (PBE-GGA, Alexandria).

Geometry as CIF:
```
data_Na3Cd2H8
_chemical_formula_sum 'Na6 Cd4 H16'
_symmetry_space_group_name_H-M 'P 1'
_symmetry_Int_Tables_number 1
_cell_length_a 6.620
_cell_length_b 6.620
_cell_length_c 8.540
_cell_angle_alpha 90.00
_cell_angle_beta 90.00
_cell_angle_gamma 113.71
loop_
_symmetry_equiv_pos_as_xyz
'x,y,z'
loop_
_atom_site_label
_atom_site_fract_x
_atom_site_fract_y
_atom_site_fract_z
Na1 0.000 0.000 0.000
Na2 0.051 0.449 0.250
Na3 0.449 0.051 0.750
Na4 0.500 0.500 0.500
Na5 0.551 0.949 0.250
Na6 0.949 0.551 0.750
Cd1 0.075 0.925 0.359
Cd2 0.425 0.575 0.859
Cd3 0.575 0.425 0.141
Cd4 0.925 0.075 0.641
H1 0.069 0.931 0.755
H2 0.093 0.344 0.554
H3 0.156 0.407 0.946
H4 0.176 0.824 0.187
H5 0.324 0.676 0.687
H6 0.344 0.093 0.446
H7 0.407 0.156 0.054
H8 0.431 0.569 0.255
H9 0.569 0.431 0.745
H10 0.593 0.844 0.946
H11 0.656 0.907 0.554
H12 0.676 0.324 0.313
H13 0.824 0.176 0.813
H14 0.844 0.593 0.054
H15 0.907 0.656 0.446
H16 0.931 0.069 0.245
```

Mass density = 2.93 g/cm³
Total DFT energy (no corrections) = -2.382 eV/atom
M_tot = 0.00 μB per formula unit
Calculated volume = 13.178 Å³ per atom



(3)
# Y2CoRe

Y2CoRe after structural relaxation (PBE-GGA, Alexandria).

Geometry as CIF:
```
data_Y2CoRe
_chemical_formula_sum 'Y2 Co1 Re1'
_symmetry_space_group_name_H-M 'P 1'
_symmetry_Int_Tables_number 1
_cell_length_a 4.027
_cell_length_b 5.511
_cell_length_c 5.511
_cell_angle_alpha 46.70
_cell_angle_beta 90.00
_cell_angle_gamma 90.00
loop_
_symmetry_equiv_pos_as_xyz
'x,y,z'
loop_
_atom_site_label
_atom_site_fract_x
_atom_site_fract_y
_atom_site_fract_z
Y1 0.000 0.000 0.000
Y2 0.500 0.296 0.296
Co1 0.000 0.702 0.702
Re1 0.500 0.597 0.597
```

Mass density = 7.89 g/cm³
M_tot = 0.00 μB per formula unit
Calculated volume = 22.249 Å³ per atom
Calculated formation energy = -16 meV/atom



(4)
# PaPdRh4Se8

PaPdRh4Se8 after structural relaxation (PBE-GGA, Alexandria).

Geometry as CIF:
```
data_PaPdRh4Se8
_chemical_formula_sum 'Pa1 Pd1 Rh4 Se8'
_symmetry_space_group_name_H-M 'P 1'
_symmetry_Int_Tables_number 1
_cell_length_a 7.445
_cell_length_b 7.445
_cell_length_c 7.445
_cell_angle_alpha 62.06
_cell_angle_beta 62.06
_cell_angle_gamma 62.06
loop_
_symmetry_equiv_pos_as_xyz
'x,y,z'
loop_
_atom_site_label
_atom_site_fract_x
_atom_site_fract_y
_atom_site_fract_z
Pa1 0.000 0.000 0.000
Pd1 0.370 0.370 0.370
Rh1 0.001 0.001 0.500
Rh2 0.001 0.500 0.001
Rh3 0.500 0.001 0.001
Rh4 0.628 0.628 0.628
Se1 0.236 0.236 0.236
Se2 0.238 0.738 0.738
Se3 0.260 0.260 0.769
Se4 0.260 0.769 0.260
Se5 0.738 0.238 0.738
Se6 0.738 0.738 0.238
Se7 0.762 0.762 0.762
Se8 0.769 0.260 0.260
```

Mass density = 7.51 g/cm³
M_tot = 0.64 μB per formula unit
Calculated volume = 21.804 Å³ per atom
Raw formation energy = -0.54 eV per atom



(5)
# Ca4PmS5

Ca4PmS5 after structural relaxation (PBE-GGA, Alexandria).

Geometry as CIF:
```
data_Ca4PmS5
_chemical_formula_sum 'Ca4 Pm1 S5'
_symmetry_space_group_name_H-M 'P 1'
_symmetry_Int_Tables_number 1
_cell_length_a 14.585
_cell_length_b 14.585
_cell_length_c 14.585
_cell_angle_alpha 164.12
_cell_angle_beta 164.12
_cell_angle_gamma 22.54
loop_
_symmetry_equiv_pos_as_xyz
'x,y,z'
loop_
_atom_site_label
_atom_site_fract_x
_atom_site_fract_y
_atom_site_fract_z
Ca1 0.100 0.100 0.000
Ca2 0.300 0.300 0.000
Ca3 0.700 0.700 0.000
Ca4 0.900 0.900 0.000
Pm1 0.500 0.500 0.000
S1 0.000 0.000 0.000
S2 0.200 0.200 0.000
S3 0.400 0.400 0.000
S4 0.600 0.600 0.000
S5 0.800 0.800 0.000
```

Mass density = 3.33 g/cm³
M_tot = 0.00 μB per formula unit
Calculated volume = 23.239 Å³ per atom
Raw formation energy = -2.12 eV per atom



(6)
# RbSeF2

RbSeF2 after structural relaxation (PBE-GGA, Alexandria).

Geometry as CIF:
```
data_RbSeF2
_chemical_formula_sum 'Rb1 Se1 F2'
_symmetry_space_group_name_H-M 'P 1'
_symmetry_Int_Tables_number 1
_cell_length_a 7.377
_cell_length_b 7.377
_cell_length_c 7.377
_cell_angle_alpha 31.68
_cell_angle_beta 31.68
_cell_angle_gamma 31.68
loop_
_symmetry_equiv_pos_as_xyz
'x,y,z'
loop_
_atom_site_label
_atom_site_fract_x
_atom_site_fract_y
_atom_site_fract_z
Rb1 0.000 0.000 0.000
Se1 0.500 0.500 0.500
F1 0.404 0.404 0.404
F2 0.596 0.596 0.596
```

Mass density = 3.42 g/cm³
M_tot = 0.00 μB per formula unit
Calculated volume = 24.587 Å³ per atom
E above lowest polymorph = 0 meV per atom
Raw formation energy = -1.65 eV per atom



(7)
# La2AsC

La2AsC after structural relaxation (PBE-GGA, Alexandria).

Geometry as CIF:
```
data_La2AsC
_chemical_formula_sum 'La2 As1 C1'
_symmetry_space_group_name_H-M 'P 1'
_symmetry_Int_Tables_number 1
_cell_length_a 5.025
_cell_length_b 5.025
_cell_length_c 5.025
_cell_angle_alpha 60.00
_cell_angle_beta 60.00
_cell_angle_gamma 60.00
loop_
_symmetry_equiv_pos_as_xyz
'x,y,z'
loop_
_atom_site_label
_atom_site_fract_x
_atom_site_fract_y
_atom_site_fract_z
La1 0.250 0.250 0.250
La2 0.750 0.750 0.750
As1 0.000 0.000 0.000
C1 0.500 0.500 0.500
```

Mass density = 6.75 g/cm³
M_tot = 1.00 μB per formula unit
Calculated volume = 22.424 Å³ per atom
Calculated formation energy = -55 meV/atom



(8)
# Rb5As

Rb5As after structural relaxation (PBE-GGA, Alexandria).

Geometry as CIF:
```
data_Rb5As
_chemical_formula_sum 'Rb5 As1'
_symmetry_space_group_name_H-M 'P 1'
_symmetry_Int_Tables_number 1
_cell_length_a 9.762
_cell_length_b 9.762
_cell_length_c 6.155
_cell_angle_alpha 90.00
_cell_angle_beta 90.00
_cell_angle_gamma 145.53
loop_
_symmetry_equiv_pos_as_xyz
'x,y,z'
loop_
_atom_site_label
_atom_site_fract_x
_atom_site_fract_y
_atom_site_fract_z
Rb1 0.000 0.000 0.000
Rb2 0.126 0.874 0.500
Rb3 0.359 0.641 0.000
Rb4 0.641 0.359 0.000
Rb5 0.874 0.126 0.500
As1 0.500 0.500 0.500
```

Mass density = 2.51 g/cm³
M_tot = 0.00 μB per formula unit
Calculated volume = 55.329 Å³ per atom
Calculated formation energy = -49 meV/atom